Below is a relaxed Li3PtC crystal, with properties calculated at the PBE level.

Unit cell a=4.7551 b=4.7551 c=4.7551 alpha=90.00 beta=90.00 gamma=90.00
With the nearest neighbours (Å) after each atom.
Fractional positions:
1 Li 0.0000 0.0000 0.5000  2 Pt 2.38
2 Li 0.0000 0.5000 0.0000  2 Pt 2.38
3 Li 0.5000 0.0000 0.0000  2 Pt 2.38
4 Pt 0.0000 0.0000 0.0000  6 Li 2.38
5 C 0.5000 0.5000 0.5000  12 Li 3.36

- Space group: Pm-3m (221)
- Spin magnetization: 3.0 μB/cell
- Energy relative to the lowest polymorph listed for this composition: 540.6 meV per atom
- DFT total energy: -3.116 eV/atom

=====

Below is a relaxed CaSmTl crystal, with properties calculated at the PBE level.

Unit cell a=3.4365 b=3.4365 c=18.7960 alpha=90.00 beta=90.00 gamma=90.00
With the nearest neighbours (Å) after each atom.
Fractional positions:
1 Ca 0.0000 0.0000 0.0000  1 Tl 3.31, 4 Ca 3.44
2 Ca 0.5000 0.5000 0.5000  1 Tl 3.31, 4 Ca 3.44
3 Sm 0.0000 0.0000 0.6521  1 Tl 3.23, 4 Sm 3.44
4 Sm 0.5000 0.5000 0.1521  1 Tl 3.23, 4 Sm 3.44
5 Tl 0.0000 0.0000 0.8237  1 Sm 3.23, 1 Ca 3.31, 4 Tl 3.44
6 Tl 0.5000 0.5000 0.3237  1 Sm 3.23, 1 Ca 3.31, 4 Tl 3.44

- Space group: I4mm (107)
- Spin magnetization: 0.0 μB/cell
- Energy relative to the lowest polymorph listed for this composition: 573.4 meV per atom
- DFT total energy: -2.811 eV/atom

=====

Below is a relaxed Tb4Ho2Er7 crystal, with properties calculated at the PBE level.

Unit cell a=6.0051 b=6.0051 c=13.1727 alpha=90.00 beta=90.00 gamma=120.00
With the nearest neighbours (Å) after each atom.
Fractional positions:
1 Tb 0.0000 0.0000 0.1068  1 Tb 2.81
2 Tb 0.0000 0.0000 0.8932  1 Tb 2.81
3 Tb 0.3333 0.6667 0.0000  9 Tb 3.47-3.74
4 Tb 0.6667 0.3333 0.0000  9 Tb 3.47-3.74
5 Ho 0.3333 0.6667 0.5000  9 Er 3.42-3.47, 3 Ho 3.47
6 Ho 0.6667 0.3333 0.5000  9 Er 3.42-3.47, 3 Ho 3.47
7 Er 0.0000 0.0000 0.5000  6 Ho 3.47, 6 Er 3.53
8 Er 0.0000 0.3532 0.7138  1 Tb 3.18, 5 Er 3.37-3.53, 2 Ho 3.42
9 Er 0.0000 0.6468 0.2862  1 Tb 3.18, 5 Er 3.37-3.53, 2 Ho 3.42
10 Er 0.3532 0.0000 0.7138  1 Tb 3.18, 5 Er 3.37-3.53, 2 Ho 3.42
11 Er 0.3532 0.3532 0.2862  1 Tb 3.18, 5 Er 3.37-3.53, 2 Ho 3.42
12 Er 0.6468 0.0000 0.2862  1 Tb 3.18, 5 Er 3.37-3.53, 2 Ho 3.42
13 Er 0.6468 0.6468 0.7138  1 Tb 3.18, 5 Er 3.37-3.53, 2 Ho 3.42

- Space group: P-31m (162)
- Spin magnetization: 0.0 μB/cell
- DFT total energy: -4.417 eV/atom

=====

Below is a relaxed EuSbPt crystal, with properties calculated at the PBE level.

Unit cell a=7.5837 b=4.6872 c=7.9930 alpha=90.00 beta=90.00 gamma=90.00
With the nearest neighbours (Å) after each atom.
Fractional positions:
1 Eu 0.0089 0.2500 0.1970  6 Pt 3.17-3.47, 6 Sb 3.25-3.41
2 Eu 0.4911 0.7500 0.6970  6 Pt 3.17-3.47, 6 Sb 3.25-3.41
3 Eu 0.5089 0.2500 0.3030  6 Pt 3.17-3.47, 6 Sb 3.25-3.41
4 Eu 0.9911 0.7500 0.8030  6 Pt 3.17-3.47, 6 Sb 3.25-3.41
5 Sb 0.1845 0.2500 0.5899  4 Pt 2.73-2.89
6 Sb 0.3155 0.7500 0.0899  4 Pt 2.73-2.89
7 Sb 0.6845 0.2500 0.9101  4 Pt 2.73-2.89
8 Sb 0.8155 0.7500 0.4101  4 Pt 2.73-2.89
9 Pt 0.1968 0.7500 0.4148  4 Sb 2.73-2.89
10 Pt 0.3032 0.2500 0.9148  4 Sb 2.73-2.89
11 Pt 0.6968 0.7500 0.0852  4 Sb 2.73-2.89
12 Pt 0.8032 0.2500 0.5852  4 Sb 2.73-2.89

- Space group: Pnma (62)
- Spin magnetization: 27.3 μB/cell
- DFT total energy: -7.832 eV/atom

=====

Below is a relaxed KTm3F10 crystal, with properties calculated at the PBE level.

Unit cell a=8.1128 b=8.1128 c=8.1128 alpha=60.00 beta=60.00 gamma=60.00
With the nearest neighbours (Å) after each atom.
Fractional positions:
1 K 0.2500 0.2500 0.2500  4 F 2.75
2 K 0.7500 0.7500 0.7500  4 F 2.75
3 Tm 0.2405 0.2405 0.7595  8 F 2.18-2.34
4 Tm 0.2405 0.7595 0.2405  8 F 2.18-2.34
5 Tm 0.2405 0.7595 0.7595  8 F 2.18-2.34
6 Tm 0.7595 0.2405 0.2405  8 F 2.18-2.34
7 Tm 0.7595 0.2405 0.7595  8 F 2.18-2.34
8 Tm 0.7595 0.7595 0.2405  8 F 2.18-2.34
9 F 0.1117 0.1117 0.1117  3 Tm 2.34, 3 F 2.56
10 F 0.1117 0.1117 0.6649  3 Tm 2.34, 3 F 2.56
11 F 0.1117 0.6649 0.1117  3 Tm 2.34, 3 F 2.56
12 F 0.1705 0.5000 0.5000  2 Tm 2.18
13 F 0.1705 0.5000 0.8295  2 Tm 2.18
14 F 0.1705 0.8295 0.5000  2 Tm 2.18
15 F 0.3351 0.8883 0.8883  3 Tm 2.34, 3 F 2.56
16 F 0.5000 0.1705 0.5000  2 Tm 2.18
17 F 0.5000 0.1705 0.8295  2 Tm 2.18
18 F 0.5000 0.5000 0.1705  2 Tm 2.18
19 F 0.5000 0.5000 0.8295  2 Tm 2.18
20 F 0.5000 0.8295 0.1705  2 Tm 2.18
21 F 0.5000 0.8295 0.5000  2 Tm 2.18
22 F 0.6649 0.1117 0.1117  3 Tm 2.34, 3 F 2.56
23 F 0.8295 0.1705 0.5000  2 Tm 2.18
24 F 0.8295 0.5000 0.1705  2 Tm 2.18
25 F 0.8295 0.5000 0.5000  2 Tm 2.18
26 F 0.8883 0.3351 0.8883  3 Tm 2.34, 3 F 2.56
27 F 0.8883 0.8883 0.3351  3 Tm 2.34, 3 F 2.56
28 F 0.8883 0.8883 0.8883  3 Tm 2.34, 3 F 2.56

- Space group: Fm-3m (225)
- Spin magnetization: 0.3 μB/cell
- DFT total energy: -6.393 eV/atom

=====

Below is a relaxed PaAsS4 crystal, with properties calculated at the PBE level.

Unit cell a=14.4374 b=4.0479 c=6.6530 alpha=90.00 beta=116.31 gamma=90.00
With the nearest neighbours (Å) after each atom.
Fractional positions:
1 Pa 0.0000 0.0000 0.0000  6 S 2.63-2.72
2 Pa 0.5000 0.5000 0.0000  6 S 2.63-2.72
3 As 0.0000 0.6035 0.5000  2 S 2.33
4 As 0.5000 0.1035 0.5000  2 S 2.33
5 S 0.1052 0.5131 0.9346  1 As 2.63, 2 Pa 2.64-2.72
6 S 0.1077 0.9749 0.4377  1 As 2.33
7 S 0.3923 0.4749 0.5623  1 As 2.33
8 S 0.3948 0.0131 0.0654  1 As 2.63, 2 Pa 2.64-2.72
9 S 0.6052 0.0131 0.9346  1 As 2.63, 2 Pa 2.64-2.72
10 S 0.6077 0.4749 0.4377  1 As 2.33
11 S 0.8923 0.9749 0.5623  1 As 2.33
12 S 0.8948 0.5131 0.0654  1 As 2.63, 2 Pa 2.64-2.72

- Space group: C2 (5)
- Spin magnetization: 0.0 μB/cell
- Energy relative to the lowest polymorph listed for this composition: 0.0 meV per atom
- DFT total energy: -6.028 eV/atom

=====

What did the first record say?
Below is a relaxed Li3PtC crystal, with properties calculated at the PBE level.

Unit cell a=4.7551 b=4.7551 c=4.7551 alpha=90.00 beta=90.00 gamma=90.00
With the nearest neighbours (Å) after each atom.
Fractional positions:
1 Li 0.0000 0.0000 0.5000  2 Pt 2.38
2 Li 0.0000 0.5000 0.0000  2 Pt 2.38
3 Li 0.5000 0.0000 0.0000  2 Pt 2.38
4 Pt 0.0000 0.0000 0.0000  6 Li 2.38
5 C 0.5000 0.5000 0.5000  12 Li 3.36

- Space group: Pm-3m (221)
- Spin magnetization: 3.0 μB/cell
- Energy relative to the lowest polymorph listed for this composition: 540.6 meV per atom
- DFT total energy: -3.116 eV/atom